This record from Alexandria describes a relaxed CeHoSiS crystal. The functional is PBE-GGA.

crystal system	trigonal
formation energy (no corrections)	-1.324	eV/atom
calculated volume	23.72	A^3/atom
total magnetic moment	0.452	μB/f.u.

Cell lengths 7.0280, 7.0280, 7.0280 Å; angles 33.64, 33.64, 33.64 degrees
Closest atoms and distances in Å follow each position.
Fractional coordinates of all 4 atoms:
Ce: 0.0000 0.0000 0.0000  3 Si 2.88, 3 S 2.91
Ho: 0.4996 0.4996 0.4996  3 S 2.83, 3 Si 2.87
Si: 0.2494 0.2494 0.2494  3 Ho 2.87, 3 Ce 2.88
S: 0.7531 0.7531 0.7531  3 Ho 2.83, 3 Ce 2.91

This record from Alexandria describes a relaxed Ce3Sm2HoS6 crystal. The functional is PBE-GGA.

crystal system	monoclinic
formation energy (no corrections)	-2.033	eV/atom
calculated volume	22.60	A^3/atom
total magnetic moment	2.524	μB/f.u.

Cell lengths 6.9131, 6.9131, 6.9499 Å; angles 99.56, 99.56, 120.03 degrees
Closest atoms and distances in Å follow each position.
Fractional coordinates of all 12 atoms:
Ce: 0.0000 0.0000 0.0000  6 S 2.84-2.88
Ce: 0.3310 0.6690 0.0000  6 S 2.84-2.87
Ce: 0.6690 0.3310 0.0000  6 S 2.84-2.87
Sm: 0.1664 0.8336 0.5000  6 S 2.82-2.83
Sm: 0.8336 0.1664 0.5000  6 S 2.82-2.83
Ho: 0.5000 0.5000 0.5000  6 S 2.76-2.77
S: 0.0923 0.4192 0.2572  1 Ho 2.76, 2 Sm 2.82, 3 Ce 2.84-2.87
S: 0.2551 0.2551 0.7454  1 Ho 2.77, 2 Sm 2.83, 3 Ce 2.85-2.88
S: 0.4192 0.0923 0.2572  1 Ho 2.76, 2 Sm 2.82, 3 Ce 2.84-2.87
S: 0.5808 0.9077 0.7428  1 Ho 2.76, 2 Sm 2.82, 3 Ce 2.84-2.87
S: 0.7449 0.7449 0.2546  1 Ho 2.77, 2 Sm 2.83, 3 Ce 2.85-2.88
S: 0.9077 0.5808 0.7428  1 Ho 2.76, 2 Sm 2.82, 3 Ce 2.84-2.87

This record from Alexandria describes a relaxed CeSmHo2S4 crystal. The functional is PBE-GGA.

crystal system	monoclinic
formation energy (no corrections)	-2.014	eV/atom
calculated volume	21.79	A^3/atom
total magnetic moment	0.753	μB/f.u.

Cell lengths 6.8165, 3.9229, 6.9008 Å; angles 90.00, 109.13, 90.00 degrees
Closest atoms and distances in Å follow each position.
Fractional coordinates of all 8 atoms:
Ce: 0.0000 0.0000 0.0000  6 S 2.84-2.85
Sm: 0.5000 0.5000 0.0000  6 S 2.84
Ho: 0.0000 0.5000 0.5000  6 S 2.75
Ho: 0.5000 0.0000 0.5000  6 S 2.74-2.75
S: 0.2464 0.0000 0.7377  3 Ho 2.75, 2 Sm 2.84, 1 Ce 2.84
S: 0.2551 0.5000 0.2629  3 Ho 2.74-2.75, 1 Sm 2.84, 2 Ce 2.85
S: 0.7449 0.5000 0.7371  3 Ho 2.74-2.75, 1 Sm 2.84, 2 Ce 2.85
S: 0.7536 0.0000 0.2623  3 Ho 2.75, 2 Sm 2.84, 1 Ce 2.84

This record from Alexandria describes a relaxed Ce3SmHo4S8 crystal. The functional is PBE-GGA.

crystal system	trigonal
formation energy (no corrections)	-2.019	eV/atom
calculated volume	21.82	A^3/atom
total magnetic moment	1.926	μB/f.u.

Cell lengths 7.9388, 7.9388, 7.9388 Å; angles 59.41, 59.41, 59.41 degrees
Closest atoms and distances in Å follow each position.
Fractional coordinates of all 16 atoms:
Ce: 0.0000 0.5000 0.5000  6 S 2.84-2.85
Ce: 0.5000 0.0000 0.5000  6 S 2.84-2.85
Ce: 0.5000 0.5000 0.0000  6 S 2.84-2.85
Sm: 0.0000 0.0000 0.0000  6 S 2.84
Ho: 0.0000 0.0000 0.5000  6 S 2.74-2.75
Ho: 0.0000 0.5000 0.0000  6 S 2.74-2.75
Ho: 0.5000 0.0000 0.0000  6 S 2.74-2.75
Ho: 0.5000 0.5000 0.5000  6 S 2.75
S: 0.2455 0.2455 0.2455  3 Ho 2.74, 3 Ce 2.85
S: 0.2452 0.7461 0.7461  3 Ho 2.75, 1 Sm 2.84, 2 Ce 2.84
S: 0.2539 0.2539 0.7548  3 Ho 2.75, 1 Sm 2.84, 2 Ce 2.84
S: 0.2539 0.7548 0.2539  3 Ho 2.75, 1 Sm 2.84, 2 Ce 2.84
S: 0.7461 0.2452 0.7461  3 Ho 2.75, 1 Sm 2.84, 2 Ce 2.84
S: 0.7461 0.7461 0.2452  3 Ho 2.75, 1 Sm 2.84, 2 Ce 2.84
S: 0.7548 0.2539 0.2539  3 Ho 2.75, 1 Sm 2.84, 2 Ce 2.84
S: 0.7545 0.7545 0.7545  3 Ho 2.74, 3 Ce 2.85

This record from Alexandria describes a relaxed CeSm3Ho3S8 crystal. The functional is PBE-GGA.

crystal system	trigonal
formation energy (no corrections)	-2.019	eV/atom
calculated volume	23.21	A^3/atom
total magnetic moment	1.513	μB/f.u.

Cell lengths 7.9034, 7.9034, 7.9034 Å; angles 59.89, 59.89, 59.89 degrees
Closest atoms and distances in Å follow each position.
Fractional coordinates of all 15 atoms:
Ce: 0.0000 0.0000 0.0000  6 S 2.84
Sm: 0.0000 0.0000 0.5000  6 S 2.83-2.84
Sm: 0.0000 0.5000 0.0000  6 S 2.83-2.84
Sm: 0.5000 0.0000 0.0000  6 S 2.83-2.84
Ho: 0.0000 0.5000 0.5000  6 S 2.75
Ho: 0.5000 0.0000 0.5000  6 S 2.75
Ho: 0.5000 0.5000 0.0000  6 S 2.75
S: 0.2536 0.2536 0.2536  3 Ho 2.75, 3 Sm 2.83
S: 0.2543 0.2543 0.7378  2 Ho 2.75, 2 Sm 2.84, 1 Ce 2.84
S: 0.2543 0.7378 0.2543  2 Ho 2.75, 2 Sm 2.84, 1 Ce 2.84
S: 0.2622 0.7457 0.7457  2 Ho 2.75, 2 Sm 2.84, 1 Ce 2.84
S: 0.7378 0.2543 0.2543  2 Ho 2.75, 2 Sm 2.84, 1 Ce 2.84
S: 0.7457 0.2622 0.7457  2 Ho 2.75, 2 Sm 2.84, 1 Ce 2.84
S: 0.7457 0.7457 0.2622  2 Ho 2.75, 2 Sm 2.84, 1 Ce 2.84
S: 0.7464 0.7464 0.7464  3 Ho 2.75, 3 Sm 2.83

This record from Alexandria describes a relaxed Ce4Sm3HoS8 crystal. The functional is PBE-GGA.

crystal system	trigonal
formation energy (no corrections)	-2.034	eV/atom
calculated volume	22.67	A^3/atom
total magnetic moment	2.874	μB/f.u.

Cell lengths 8.0158, 8.0158, 8.0158 Å; angles 59.82, 59.82, 59.82 degrees
Closest atoms and distances in Å follow each position.
Fractional coordinates of all 16 atoms:
Ce: 0.0000 0.0000 0.0000  6 S 2.89
Ce: 0.0000 0.5000 0.5000  6 S 2.84
Ce: 0.5000 0.0000 0.5000  6 S 2.84
Ce: 0.5000 0.5000 0.0000  6 S 2.84
Sm: 0.0000 0.0000 0.5000  6 S 2.82
Sm: 0.0000 0.5000 0.0000  6 S 2.82
Sm: 0.5000 0.0000 0.0000  6 S 2.82
Ho: 0.5000 0.5000 0.5000  6 S 2.78
S: 0.2493 0.2493 0.2493  3 Sm 2.82, 3 Ce 2.84
S: 0.2535 0.7451 0.7451  1 Ho 2.78, 2 Sm 2.82, 3 Ce 2.84-2.89
S: 0.2549 0.2549 0.7465  1 Ho 2.78, 2 Sm 2.82, 3 Ce 2.84-2.89
S: 0.2549 0.7465 0.2549  1 Ho 2.78, 2 Sm 2.82, 3 Ce 2.84-2.89
S: 0.7451 0.2535 0.7451  1 Ho 2.78, 2 Sm 2.82, 3 Ce 2.84-2.89
S: 0.7451 0.7451 0.2535  1 Ho 2.78, 2 Sm 2.82, 3 Ce 2.84-2.89
S: 0.7465 0.2549 0.2549  1 Ho 2.78, 2 Sm 2.82, 3 Ce 2.84-2.89
S: 0.7507 0.7507 0.7507  3 Sm 2.82, 3 Ce 2.84

This record from Alexandria describes a relaxed Ce3Sm4HoS8 crystal. The functional is PBE-GGA.

crystal system	trigonal
formation energy (no corrections)	-2.030	eV/atom
calculated volume	22.61	A^3/atom
total magnetic moment	1.932	μB/f.u.

Cell lengths 7.9925, 7.9925, 7.9925 Å; angles 60.09, 60.09, 60.09 degrees
Closest atoms and distances in Å follow each position.
Fractional coordinates of all 16 atoms:
Ce: 0.0000 0.5000 0.5000  6 S 2.83
Ce: 0.5000 0.0000 0.5000  6 S 2.83
Ce: 0.5000 0.5000 0.0000  6 S 2.83
Sm: 0.0000 0.0000 0.5000  6 S 2.82
Sm: 0.0000 0.5000 0.0000  6 S 2.82
Sm: 0.5000 0.0000 0.0000  6 S 2.82
Sm: 0.5000 0.5000 0.5000  6 S 2.87
Ho: 0.0000 0.0000 0.0000  6 S 2.78
S: 0.2452 0.7540 0.7540  1 Ho 2.78, 3 Sm 2.82-2.87, 2 Ce 2.83
S: 0.2460 0.2460 0.7548  1 Ho 2.78, 3 Sm 2.82-2.87, 2 Ce 2.83
S: 0.2460 0.7548 0.2460  1 Ho 2.78, 3 Sm 2.82-2.87, 2 Ce 2.83
S: 0.2494 0.2494 0.2494  3 Sm 2.82, 3 Ce 2.83
S: 0.7506 0.7506 0.7506  3 Sm 2.82, 3 Ce 2.83
S: 0.7540 0.2452 0.7540  1 Ho 2.78, 3 Sm 2.82-2.87, 2 Ce 2.83
S: 0.7540 0.7540 0.2452  1 Ho 2.78, 3 Sm 2.82-2.87, 2 Ce 2.83
S: 0.7548 0.2460 0.2460  1 Ho 2.78, 3 Sm 2.82-2.87, 2 Ce 2.83

This record from Alexandria describes a relaxed CeSmHo4S8 crystal. The functional is PBE-GGA.

crystal system	trigonal
formation energy (no corrections)	-1.909	eV/atom
calculated volume	26.95	A^3/atom
total magnetic moment	1.662	μB/f.u.

Cell lengths 8.1366, 8.1366, 8.1366 Å; angles 59.59, 59.59, 59.59 degrees
Closest atoms and distances in Å follow each position.
Fractional coordinates of all 14 atoms:
Ce: 0.0000 0.0000 0.0000  4 S 2.71-2.73
Sm: 0.6258 0.6258 0.6258  6 S 2.80-2.85
Ho: 0.1264 0.6261 0.6261  6 S 2.72-2.78
Ho: 0.2518 0.2518 0.2518  4 S 2.61-2.64
Ho: 0.6261 0.1264 0.6261  6 S 2.72-2.78
Ho: 0.6261 0.6261 0.1264  6 S 2.72-2.78
S: 0.3781 0.3781 0.8575  3 Ho 2.61-2.77, 1 Sm 2.85
S: 0.3781 0.8575 0.3781  3 Ho 2.61-2.77, 1 Sm 2.85
S: 0.3839 0.3839 0.3839  4 Ho 2.64-2.78
S: 0.4095 0.8689 0.8689  1 Ce 2.71, 2 Ho 2.72, 1 Sm 2.80
S: 0.8575 0.3781 0.3781  3 Ho 2.61-2.77, 1 Sm 2.85
S: 0.8635 0.8635 0.8635  3 Ho 2.73, 1 Ce 2.73
S: 0.8689 0.4095 0.8689  1 Ce 2.71, 2 Ho 2.72, 1 Sm 2.80
S: 0.8689 0.8689 0.4095  1 Ce 2.71, 2 Ho 2.72, 1 Sm 2.80